# 1
DFT (PBE) results for Tm2PuO8 after structural relaxation.

a b c (Å): 14.706 3.654 5.235
angles (deg): 90.00 108.03 90.00
Space group C2/m (No. 12)
Unique sites:
Tm1 0.184 0.000 0.231 x4
Pu1 0.000 0.500 0.500 x2
O1 0.045 0.000 0.346 x4
O2 0.078 0.500 0.850 x4
O3 0.170 0.500 0.465 x4
O4 0.227 0.000 0.859 x4

Output
The density of states at the Fermi level is 6.9 states/eV/cell. For the magnetic moment, the calculation gives 4.1 μB/cell. Its formation energy without anion corrections is -2236 meV/atom. For the total energy, the calculation gives -175.067 eV for the cell shown.



# 2
DFT (PBE) results for LiBi2As after structural relaxation.

a b c (Å): 6.636 6.636 12.083
angles (deg): 90.00 90.00 90.00
Space group I-42d (No. 122)
Unique sites:
Li1 0.000 0.000 0.000 x4
Bi1 0.248 0.250 0.625 x8
As1 0.000 0.000 0.500 x4

Output
The density of states at the Fermi level is 0.4 states/eV/cell. For the magnetic moment, the calculation gives 0.0 μB/cell. For the total energy, the calculation gives -56.186 eV for the cell shown. Its formation enthalpy at 0 K is 0.07 eV/atom.



# 3
DFT (PBE) results for GaCo4H after structural relaxation.

a b c (Å): 11.124 4.441 4.963
angles (deg): 90.00 105.92 90.00
Space group C2/c (No. 15)
Unique sites:
Ga1 0.000 0.095 0.250 x4
Co1 0.099 0.418 0.948 x8
Co2 0.202 0.088 0.648 x8
H1 0.250 0.250 0.000 x4

Output
The density of states at the Fermi level is 22.0 states/eV/cell. For the magnetic moment, the calculation gives 21.5 μB/cell. For the total energy, the calculation gives -140.667 eV for the cell shown.



# 4
DFT (PBE) results for PaZnInAu after structural relaxation.

a b c (Å): 6.979 6.979 6.979
angles (deg): 90.00 90.00 90.00
Space group F-43m (No. 216)
Unique sites:
Pa1 0.000 0.000 0.000 x4
Zn1 0.250 0.250 0.750 x4
In1 0.000 0.000 0.500 x4
Au1 0.250 0.250 0.250 x4

Output
The density of states at the Fermi level is 21.1 states/eV/cell. For the magnetic moment, the calculation gives 0.0 μB/cell. For the total energy, the calculation gives -70.721 eV for the cell shown. Its formation enthalpy at 0 K is -0.22 eV/atom.



# 5
DFT (PBE) results for AlCl after structural relaxation.

a b c (Å): 5.7438 5.7438 6.1452
angles (deg): 90.00 90.00 120.00
Space group P6_3mc (No. 186)
Unique sites:
Al1 0.3333 0.6667 0.0000 x2
Cl1 0.3333 0.6667 0.3774 x2

Output
The density of states at the Fermi level is 0.0 states/eV/cell. For the magnetic moment, the calculation gives 0.0 μB/cell. Its formation energy without anion corrections is -237 meV/atom. For the total energy, the calculation gives -12.127 eV for the cell shown.



# 6
DFT (PBE) results for U3TeS3 after structural relaxation.

a b c (Å): 7.7681 7.7681 21.5253
angles (deg): 90.00 90.00 120.00
Space group R-3 (No. 148, hexagonal axes)
Unique sites:
U1 0.0089 0.6103 0.3998 x18
Te1 0.0000 0.0000 0.1652 x6
S1 0.0092 0.7503 0.6092 x18

Output
The density of states at the Fermi level is 92.3 states/eV/cell. For the magnetic moment, the calculation gives 54.0 μB/cell. Its formation energy without anion corrections is -1017 meV/atom. For the total energy, the calculation gives -339.046 eV for the cell shown.



# 7
DFT (PBE) results for Li2AlMoN4 after structural relaxation.

a b c (Å): 4.729 4.729 8.809
angles (deg): 90.00 90.00 90.00
Space group I-4 (No. 82)
Unique sites:
Li1 0.000 0.000 0.000 x2
Li2 0.000 0.500 0.250 x2
Al1 0.000 0.000 0.500 x2
Mo1 0.000 0.500 0.750 x2
N1 0.202 0.749 0.626 x8

Output
The density of states at the Fermi level is 10.0 states/eV/cell. For the magnetic moment, the calculation gives 2.0 μB/cell. Its formation energy without anion corrections is -513 meV/atom. For the total energy, the calculation gives -111.612 eV for the cell shown.



# 8
DFT (PBE) results for Sc2TaB2Ir5 after structural relaxation.

a b c (Å): 9.355 9.355 3.257
angles (deg): 90.00 90.00 90.00
Space group P4/mbm (No. 127)
Unique sites:
Sc1 0.176 0.324 0.000 x4
Ta1 0.000 0.000 0.000 x2
B1 0.120 0.620 0.000 x4
Ir1 0.000 0.500 0.500 x2
Ir2 0.072 0.781 0.500 x8

Output
The density of states at the Fermi level is 9.6 states/eV/cell. For the magnetic moment, the calculation gives 0.0 μB/cell. For the total energy, the calculation gives -180.122 eV for the cell shown. Its formation enthalpy at 0 K is -0.79 eV/atom.



# 9
DFT (PBE) results for BaCaCl2 after structural relaxation.

a b c (Å): 4.107 4.107 7.736
angles (deg): 90.00 90.00 90.00
Space group P4mm (No. 99)
Unique sites:
Ba1 0.000 0.000 0.000 x1
Ca1 0.500 0.500 0.447 x1
Cl1 0.000 0.000 0.546 x1
Cl2 0.500 0.500 0.820 x1

Output
The density of states at the Fermi level is 1.3 states/eV/cell. For the magnetic moment, the calculation gives 0.0 μB/cell. Its formation energy without anion corrections is -1696 meV/atom. For the total energy, the calculation gives -14.400 eV for the cell shown.



# 10
DFT (PBE) results for TbYNiGe after structural relaxation.

a b c (Å): 6.993 6.993 6.993
angles (deg): 90.00 90.00 90.00
Space group F-43m (No. 216)
Unique sites:
Tb1 0.000 0.000 0.000 x4
Y1 0.000 0.000 0.500 x4
Ni1 0.250 0.250 0.250 x4
Ge1 0.250 0.250 0.750 x4

Output
The density of states at the Fermi level is 5.0 states/eV/cell. For the magnetic moment, the calculation gives 0.0 μB/cell. For the total energy, the calculation gives -94.626 eV for the cell shown. Its formation enthalpy at 0 K is -0.54 eV/atom.



# 11
DFT (PBE) results for Sr2VP after structural relaxation.

a b c (Å): 11.341 11.341 4.648
angles (deg): 90.00 90.00 90.00
Space group I-42d (No. 122)
Unique sites:
Sr1 0.079 0.250 0.125 x8
V1 0.000 0.000 0.500 x4
P1 0.000 0.000 0.000 x4

Output
The density of states at the Fermi level is 9.3 states/eV/cell. For the magnetic moment, the calculation gives 14.5 μB/cell. For the total energy, the calculation gives -73.799 eV for the cell shown. Its formation enthalpy at 0 K is -0.14 eV/atom.



# 12
DFT (PBE) results for V4GaRu2 after structural relaxation.

a b c (Å): 4.453 4.453 12.143
angles (deg): 90.00 90.00 90.00
Space group I4/mmm (No. 139)
Unique sites:
V1 0.000 0.000 0.199 x4
V2 0.000 0.500 0.000 x4
Ga1 0.000 0.000 0.000 x2
Ru1 0.000 0.000 0.383 x4

Output
The density of states at the Fermi level is 21.1 states/eV/cell. For the magnetic moment, the calculation gives 5.3 μB/cell. For the total energy, the calculation gives -103.084 eV for the cell shown. Its formation enthalpy at 0 K is 0.93 eV/atom.



# 13
DFT (PBE) results for CaSbAs2 after structural relaxation.

a b c (Å): 7.298 7.298 7.298
angles (deg): 90.00 90.00 90.00
Space group F-43m (No. 216)
Unique sites:
Ca1 0.000 0.000 0.000 x4
Sb1 0.250 0.250 0.750 x4
As1 0.000 0.000 0.500 x4
As2 0.250 0.250 0.250 x4

Output
The density of states at the Fermi level is 11.6 states/eV/cell. For the magnetic moment, the calculation gives 0.0 μB/cell. Its formation energy without anion corrections is -80 meV/atom. For the total energy, the calculation gives -62.964 eV for the cell shown.



# 14
DFT (PBE) results for MgHgF3 after structural relaxation.

a b c (Å): 4.564 4.564 4.564
angles (deg): 90.00 90.00 90.00
Space group Pm-3m (No. 221)
Unique sites:
Mg1 0.000 0.000 0.000 x1
Hg1 0.500 0.500 0.500 x1
F1 0.000 0.500 0.500 x3

Output
The density of states at the Fermi level is 1.6 states/eV/cell. For the magnetic moment, the calculation gives 0.0 μB/cell. Its formation energy without anion corrections is -1341 meV/atom. For the total energy, the calculation gives -14.213 eV for the cell shown.



# 15
DFT (PBE) results for Pu3Bi5Sb12 after structural relaxation.

a b c (Å): 18.059 18.059 18.059
angles (deg): 90.00 90.00 90.00
Space group Ia-3d (No. 230)
Unique sites:
Pu1 0.000 0.250 0.125 x24
Bi1 0.000 0.000 0.000 x16
Bi2 0.000 0.250 0.375 x24
Sb1 0.009 0.079 0.657 x96

Output
The density of states at the Fermi level is 292.8 states/eV/cell. For the magnetic moment, the calculation gives 123.8 μB/cell. Its formation energy without anion corrections is 24 meV/atom. For the total energy, the calculation gives -891.100 eV for the cell shown.



# 16
DFT (PBE) results for PuBiBrO4 after structural relaxation.

a b c (Å): 12.628 7.306 6.993
angles (deg): 90.00 108.94 90.00
Space group C2/m (No. 12)
Unique sites:
Pu1 0.120 0.000 0.214 x4
Bi1 0.244 0.500 0.177 x4
Br1 0.050 0.500 0.283 x4
O1 0.070 0.000 0.904 x4
O2 0.146 0.000 0.507 x4
O3 0.230 0.191 0.206 x8

Output
The density of states at the Fermi level is 20.5 states/eV/cell. For the magnetic moment, the calculation gives 8.0 μB/cell. Its formation energy without anion corrections is -1641 meV/atom. For the total energy, the calculation gives -204.811 eV for the cell shown.



# 17
DFT (PBE) results for Be2TcB3 after structural relaxation.

a b c (Å): 4.348 4.583 5.533
angles (deg): 110.92 93.80 92.49
Space group P-1 (No. 2)
Unique sites:
Be1 0.000 0.248 0.364 x2
Be2 0.494 0.818 0.810 x2
Tc1 0.261 0.652 0.172 x2
B1 0.223 0.164 0.875 x2
B2 0.226 0.432 0.718 x2
B3 0.333 0.064 0.557 x2

Output
The density of states at the Fermi level is 4.4 states/eV/cell. For the magnetic moment, the calculation gives 0.0 μB/cell. For the total energy, the calculation gives -75.583 eV for the cell shown. Its formation enthalpy at 0 K is 0.01 eV/atom.



# 18
DFT (PBE) results for LaReB2 after structural relaxation.

a b c (Å): 6.156 6.156 6.156
angles (deg): 90.00 90.00 90.00
Space group Fm-3m (No. 225)
Unique sites:
La1 0.000 0.000 0.000 x4
Re1 0.000 0.000 0.500 x4
B1 0.250 0.250 0.250 x8

Output
The density of states at the Fermi level is 12.2 states/eV/cell. For the magnetic moment, the calculation gives 4.7 μB/cell. For the total energy, the calculation gives -109.189 eV for the cell shown. Its formation enthalpy at 0 K is 0.86 eV/atom.



# 19
DFT (PBE) results for CaCo2SbN after structural relaxation.

a b c (Å): 3.894 11.612 6.878
angles (deg): 90.00 90.00 90.00
Space group Cmcm (No. 63)
Unique sites:
Ca1 0.000 0.042 0.250 x4
Co1 0.000 0.356 0.057 x8
Sb1 0.000 0.232 0.750 x4
N1 0.000 0.500 0.000 x4

Output
The density of states at the Fermi level is 10.3 states/eV/cell. For the magnetic moment, the calculation gives 0.0 μB/cell. Its formation energy without anion corrections is -454 meV/atom. For the total energy, the calculation gives -123.729 eV for the cell shown.



# 20
DFT (PBE) results for Re2SbBr after structural relaxation.

a b c (Å): 3.249 3.249 6.546
angles (deg): 90.00 90.00 90.00
Space group P4/mmm (No. 123)
Unique sites:
Re1 0.000 0.000 0.239 x2
Sb1 0.500 0.500 0.000 x1
Br1 0.500 0.500 0.500 x1

Output
The density of states at the Fermi level is 3.7 states/eV/cell. For the magnetic moment, the calculation gives 0.0 μB/cell. Its formation energy without anion corrections is 1141 meV/atom. For the total energy, the calculation gives -26.129 eV for the cell shown.